Density functional theory data (PBE-GGA) for an optimized crystal structure of Ce2PmCo2.

Cell lengths 4.398, 4.398, 6.214 Å; angles 71.65, 71.65, 87.10 degrees
Fractional coordinates of all 5 atoms:
Co (0.553, 0.553, 0.792)
Ce (0.238, 0.762, 0.500)
Pm (0.000, 0.000, 0.000)
Ce (0.762, 0.238, 0.500)
Co (0.447, 0.447, 0.208)

Results
- DOS at the Fermi energy (states/eV per atom) = 1.5377
- energy of formation from the pure elements (eV per atom) = -0.0099
- symmetry = C2/m (12)
- energy (eV for the cell shown) = -30.88
- calculated volume (Å³ per atom) = 21.6